1.
Entry from Alexandria via LeMat-Bulk: a relaxed Nd2TlSn crystal (GGA-PBE).

density: 8.19 g cm⁻³
ΔE_f: -0.585 eV per atom

POSCAR file:
```
Nd2TlSn
1.0
6.376 0.000 0.000
0.000 4.448 0.000
-2.868 0.000 8.743
Nd Tl Sn
4 2 2
direct
0.197 0.250 0.427
0.291 0.750 0.066
0.709 0.250 0.934
0.803 0.750 0.573
0.387 0.750 0.702
0.613 0.250 0.298
0.126 0.250 0.794
0.874 0.750 0.206
```

2.
Entry from Alexandria via LeMat-Bulk: a relaxed Nd6Tl2Sn crystal (GGA-PBE).

density: 8.02 g cm⁻³
ΔE_f: -0.363 eV per atom

POSCAR file:
```
Nd6Tl2Sn
1.0
8.739 0.000 0.000
-4.369 7.568 0.000
0.000 0.000 4.360
Nd Tl Sn
6 2 1
direct
0.000 0.274 0.000
0.000 0.606 0.500
0.274 0.000 0.000
0.394 0.394 0.500
0.606 0.000 0.500
0.726 0.726 0.000
0.333 0.667 0.000
0.667 0.333 0.000
0.000 0.000 0.500
```

> Which value of density does entry 2 give?

8.02 g cm⁻³

> Look up the density of the second one.

8.02 g cm⁻³

> The lowest density belongs to which entry?

Nd6Tl2Sn

> The highest density belongs to which entry?

Nd2TlSn